First-principles (PBE) data for an optimized crystal structure of MgCu2Pt5, as listed in Alexandria via LeMat-Bulk.

As for the density of states at the Fermi level: 12.734 states/eV per cell. The total energy is -5.321 eV/atom. The total magnetic moment is 0.00 Bohr magnetons per cell.

The space group is Pbam (No. 55) and the conventional cell measures 5.4987, 11.0299 and 3.9197 Å, with angles of 90.00, 90.00 and 90.00 degrees. The inequivalent atoms are Mg at (0.0000, 0.0000, 0.0000), Cu at (0.2394, 0.3726, 0.5000), Pt at (0.0000, 0.5000, 0.0000), Pt at (0.0060, 0.7527, 0.0000) and Pt at (0.2418, 0.1229, 0.5000).


First-principles (PBE) data for an optimized crystal structure of Ca2Pm2C, as listed in Alexandria via LeMat-Bulk.

As for the density of states at the Fermi level: 9.963 states/eV per cell. The total energy is -4.608 eV/atom. The total magnetic moment is 0.42 Bohr magnetons per cell.

The space group is C2/m (No. 12) and the conventional cell measures 6.4634, 3.7359 and 13.1696 Å, with angles of 90.00, 99.66 and 90.00 degrees. The inequivalent atoms are Ca at (0.2093, 0.0000, 0.1255), Pm at (0.1301, 0.5000, 0.3930) and C at (0.0000, 0.0000, 0.5000).


First-principles (PBE) data for an optimized crystal structure of CeDyTe6, as listed in Alexandria via LeMat-Bulk.

For the formation energy from raw total energies, the calculation gives -0.95 eV per atom. As for the density of states at the Fermi level: 12.664 states/eV per cell. The total magnetic moment is 0.95 Bohr magnetons per cell.

The space group is Amm2 (No. 38) and the conventional cell measures 4.3847, 4.3836 and 26.7521 Å, with angles of 90.00, 90.00 and 90.00 degrees. The inequivalent atoms are Ce at (0.0000, 0.0000, 0.0000), Dy at (0.5000, 0.0000, 0.6569), Te at (0.0000, 0.0000, 0.1219), Te at (0.0000, 0.0000, 0.4082), Te at (0.0000, 0.0000, 0.7486), Te at (0.5000, 0.0000, 0.2485), Te at (0.5000, 0.0000, 0.5358) and Te at (0.5000, 0.0000, 0.9082).


First-principles (PBE) data for an optimized crystal structure of KAu4Br, as listed in Alexandria via LeMat-Bulk.

For the formation energy from raw total energies, the calculation gives -0.24 eV per atom. As for the density of states at the Fermi level: 0.952 states/eV per cell. The total magnetic moment is 0.00 Bohr magnetons per cell.

The space group is F-43m (No. 216) and the conventional cell measures 8.1129, 8.1129 and 8.1129 Å, with angles of 90.00, 90.00 and 90.00 degrees. The inequivalent atoms are K at (0.0000, 0.0000, 0.0000), Au at (0.1251, 0.1251, 0.6251) and Br at (0.2500, 0.2500, 0.2500).


First-principles (PBE) data for an optimized crystal structure of InPb2Cl, as listed in Alexandria via LeMat-Bulk.

For the formation energy from raw total energies, the calculation gives -0.24 eV per atom. As for the density of states at the Fermi level: 3.698 states/eV per cell. The total magnetic moment is 0.00 Bohr magnetons per cell. Its energy above the most stable polymorph in this dataset is 0.067 eV per atom.

The space group is Cmmm (No. 65) and the conventional cell measures 3.7625, 5.7665 and 10.5414 Å, with angles of 90.00, 90.00 and 90.00 degrees. The inequivalent atoms are In at (0.0000, 0.0000, 0.0000), Pb at (0.0000, 0.5000, 0.2714) and Cl at (0.0000, 0.0000, 0.5000).


First-principles (PBE) data for an optimized crystal structure of BeW2Se, as listed in Alexandria via LeMat-Bulk.

For the formation energy from raw total energies, the calculation gives 0.55 eV per atom. As for the density of states at the Fermi level: 5.198 states/eV per cell. The total magnetic moment is 0.00 Bohr magnetons per cell. Its energy above the most stable polymorph in this dataset is 0.358 eV per atom.

The space group is R-3m (No. 166, hexagonal axes) and the conventional cell measures 2.9138, 2.9138 and 24.1647 Å, with angles of 90.00, 90.00 and 120.00 degrees. The inequivalent atoms are Be at (0.0000, 0.0000, 0.0000), W at (0.0000, 0.0000, 0.2515) and Se at (0.0000, 0.0000, 0.5000).


First-principles (PBE) data for an optimized crystal structure of SrLuAl, as listed in Alexandria via LeMat-Bulk.

As for the density of states at the Fermi level: 5.921 states/eV per cell. The total energy is -3.390 eV/atom. The total magnetic moment is 0.00 Bohr magnetons per cell.

The space group is I4mm (No. 107) and the conventional cell measures 3.7138, 3.7138 and 13.3767 Å, with angles of 90.00, 90.00 and 90.00 degrees. The inequivalent atoms are Sr at (0.0000, 0.0000, 0.0000), Lu at (0.0000, 0.0000, 0.2781) and Al at (0.0000, 0.0000, 0.6657).


First-principles (PBE) data for an optimized crystal structure of Li14GaHg, as listed in Alexandria via LeMat-Bulk.

As for the density of states at the Fermi level: 6.082 states/eV per cell. The total energy is -1.993 eV/atom. The total magnetic moment is 0.00 Bohr magnetons per cell.

The space group is P4/mmm (No. 123) and the conventional cell measures 6.4193, 6.4193 and 7.1457 Å, with angles of 90.00, 90.00 and 90.00 degrees. The inequivalent atoms are Li at (0.0000, 0.0000, 0.0000), Li at (0.0000, 0.5000, 0.0000), Li at (0.0000, 0.5000, 0.5000), Li at (0.2441, 0.2441, 0.2686), Li at (0.5000, 0.5000, 0.0000), Ga at (0.0000, 0.0000, 0.5000) and Hg at (0.5000, 0.5000, 0.5000).